No. 1
Re2TeAu: relaxed, PBE.

Output
Raw total energy = -27.295 eV for the cell shown
Total magnetization = 0.00 μB per formula unit

Unit cell a=3.037 b=4.822 c=4.848 alpha=90.00 beta=90.00 gamma=90.00
Positions (direct):
Te: 0.500 0.000 0.500
Re: 0.000 0.000 0.000
Au: 0.000 0.500 0.500
Re: 0.500 0.500 0.000

***

No. 2
ReTeAu2: relaxed, PBE.

Output
Raw total energy = -19.484 eV for the cell shown
Total magnetization = 0.00 μB per formula unit

Unit cell a=6.413 b=6.413 c=4.380 alpha=76.99 beta=76.99 gamma=27.67
Positions (direct):
Au: 0.052 0.052 0.963
Re: 0.750 0.750 0.750
Te: 0.250 0.250 0.250
Au: 0.448 0.448 0.537